# 1
Entry from Alexandria via LeMat-Bulk: an optimized crystal structure of NdCd2Pb (PBE-GGA).

```
NdCd2Pb
1.0
4.6275 0.0000 0.0000
0.0000 4.6275 0.0000
0.0000 0.0000 4.9380
Nd Cd Pb
1 2 1
direct
0.0000 0.0000 0.0000 Nd
0.0000 0.5000 0.5000 Cd
0.5000 0.0000 0.5000 Cd
0.5000 0.5000 0.0000 Pb
```

Output
Polymorph energy (0 for the lowest one): 0 meV/atom
E_form: -0.3736 eV per atom
Raw total energy: -2.9502 eV per atom
DOS at the Fermi energy: 0.3102 states/eV/atom

# 2
Entry from Alexandria via LeMat-Bulk: an optimized crystal structure of Nd4Cd3Pb (PBE-GGA).

```
Nd4Cd3Pb
1.0
3.8663 0.0000 0.0000
0.0000 5.4663 0.0000
0.0000 0.0000 11.0581
Nd Cd Pb
4 3 1
direct
0.0000 0.0000 0.0000 Nd
0.0000 0.0000 0.5000 Nd
0.0000 0.5000 0.2465 Nd
0.0000 0.5000 0.7535 Nd
0.5000 0.0000 0.2412 Cd
0.5000 0.0000 0.7588 Cd
0.5000 0.5000 0.0000 Cd
0.5000 0.5000 0.5000 Pb
```

Output
E_form: -0.3671 eV per atom
Raw total energy: -3.5577 eV per atom
DOS at the Fermi energy: 1.4267 states/eV/atom

# 3
Entry from Alexandria via LeMat-Bulk: an optimized crystal structure of Nd4CdPb3 (PBE-GGA).

```
Nd4CdPb3
1.0
-2.5641 2.5641 9.0494
2.5641 -2.5641 9.0494
2.5641 2.5641 -9.0494
Nd Cd Pb
4 1 3
direct
0.1235 0.6235 0.5000 Nd
0.3765 0.8765 0.5000 Nd
0.6235 0.1235 0.5000 Nd
0.8765 0.3765 0.5000 Nd
0.0000 0.0000 0.0000 Cd
0.2494 0.2494 0.0000 Pb
0.5000 0.5000 0.0000 Pb
0.7506 0.7506 0.0000 Pb
```

Output
E_form: -0.4707 eV per atom
Raw total energy: -4.3596 eV per atom
DOS at the Fermi energy: 0.9586 states/eV/atom